1.
SrY2Os: relaxed, PBE.

Summary:
VASP energy in eV/atom: -5.970
Crystal system: tetragonal
ΔH_f (0 K) in meV per atom: 490
Calculated volume in Å³ per atom: 25.8

a b c (Å): 4.4709 4.4709 10.3128
angles (deg): 90.00 90.00 90.00
Last column: nearest neighbours and their distance in Å.
Space group I-4m2 (No. 119)
Asymmetric unit:
Sr1 0.0000 0.0000 0.0000 x2  8 Y 3.16-3.41, 4 Os 3.41
Y1 0.0000 0.0000 0.5000 x2  4 Sr 3.16, 4 Os 3.41, 4 Y 3.41
Y2 0.0000 0.5000 0.7500 x2  4 Os 3.16, 4 Sr 3.41, 4 Y 3.41
Os1 0.0000 0.5000 0.2500 x2  8 Y 3.16-3.41, 4 Sr 3.41

***

2.
Sr2YOs: relaxed, PBE.

Summary:
VASP energy in eV/atom: -5.013
Crystal system: monoclinic
ΔH_f (0 K) in meV per atom: 251
Calculated volume in Å³ per atom: 37.2

a b c (Å): 9.8395 3.7486 8.4930
angles (deg): 90.00 107.98 90.00
Last column: nearest neighbours and their distance in Å.
Space group Cm (No. 8)
Asymmetric unit:
Sr1 0.0000 0.0000 0.0000 x2  2 Os 3.09
Sr2 0.1582 0.0000 0.5955 x2  2 Os 3.08
Y1 0.3417 0.0000 0.2979 x2  3 Os 2.79-2.83
Os1 0.1257 0.5000 0.2980 x2  3 Y 2.79-2.83, 4 Sr 3.08-3.09

***

3.
SrY2Os: relaxed, PBE.

Summary:
VASP energy in eV/atom: -6.256
Crystal system: orthorhombic
ΔH_f (0 K) in meV per atom: 204
Calculated volume in Å³ per atom: 30.9

a b c (Å): 3.7899 3.9678 8.2328
angles (deg): 90.00 90.00 90.00
Last column: nearest neighbours and their distance in Å.
Space group Pmm2 (No. 25)
Asymmetric unit:
Sr1 0.0000 0.0000 0.0000 x1  1 Y 3.24
Y1 0.0000 0.0000 0.6059 x1  4 Os 2.86
Y2 0.5000 0.5000 0.3611 x1  1 Os 2.83
Os1 0.5000 0.5000 0.7042 x1  5 Y 2.83-2.86

***

4.
SrY2Os: relaxed, PBE.

Summary:
VASP energy in eV/atom: -6.006
Crystal system: orthorhombic
ΔH_f (0 K) in meV per atom: 454
Calculated volume in Å³ per atom: 25.8

a b c (Å): 4.3245 4.8121 4.9593
angles (deg): 90.00 90.00 90.00
Last column: nearest neighbours and their distance in Å.
Space group Pmmm (No. 47)
Asymmetric unit:
Sr1 0.0000 0.0000 0.0000 x1  8 Y 3.23-3.29, 4 Os 3.46
Y1 0.5000 0.0000 0.5000 x1  4 Os 3.23, 4 Sr 3.29, 4 Y 3.46
Y2 0.5000 0.5000 0.0000 x1  4 Sr 3.23, 4 Os 3.29, 4 Y 3.46
Os1 0.0000 0.5000 0.5000 x1  8 Y 3.23-3.29, 4 Sr 3.46

***

5.
SrY2Os: relaxed, PBE.

Summary:
VASP energy in eV/atom: -5.850
Crystal system: monoclinic
ΔH_f (0 K) in meV per atom: 610
Calculated volume in Å³ per atom: 25.8

a b c (Å): 6.5330 10.1135 3.4025
angles (deg): 90.00 113.45 90.00
Last column: nearest neighbours and their distance in Å.
Space group C2/m (No. 12)
Asymmetric unit:
Sr1 0.0000 0.0000 0.0000 x2  4 Y 3.12, 2 Os 3.27, 2 Sr 3.40
Y1 0.2500 0.2500 0.5000 x4  2 Os 3.12, 2 Sr 3.12, 4 Y 3.27-3.40
Os1 0.0000 0.5000 0.0000 x2  4 Y 3.12, 2 Sr 3.27, 2 Os 3.40

***

6.
SrY2Os: relaxed, PBE.

Summary:
VASP energy in eV/atom: -6.170
Crystal system: cubic
ΔH_f (0 K) in meV per atom: 289
Calculated volume in Å³ per atom: 25.1

a b c (Å): 7.3764 7.3764 7.3764
angles (deg): 90.00 90.00 90.00
Last column: nearest neighbours and their distance in Å.
Space group Fm-3m (No. 225)
Asymmetric unit:
Sr1 0.0000 0.0000 0.0000 x4  8 Y 3.19
Y1 0.2500 0.2500 0.2500 x8  4 Os 3.19, 4 Sr 3.19
Os1 0.0000 0.0000 0.5000 x4  8 Y 3.19